Entry 1:
Entry from Alexandria: crystalline CaHgTe at its relaxed geometry (PBE).

Calculated values
- Uncorrected formation energy: -0.89 eV/atom
- Total DFT energy (no corrections): -2.709 eV per atom

a b c (Å): 5.248 5.248 5.248
angles (deg): 60.00 60.00 60.00
Fractional positions:
Ca: 0.000 0.000 0.000
Hg: 0.250 0.250 0.250
Te: 0.750 0.750 0.750

***

Entry 2:
Entry from Alexandria: crystalline CaHgTe2 at its relaxed geometry (PBE).

Calculated values
- Uncorrected formation energy: -0.78 eV/atom
- Total DFT energy (no corrections): -2.930 eV per atom

a b c (Å): 4.381 4.381 6.546
angles (deg): 90.00 90.00 90.00
Fractional positions:
Ca: 0.000 0.000 0.000
Hg: 0.500 0.500 0.425
Te: 0.000 0.000 0.497
Te: 0.500 0.500 0.971

***

Entry 3:
Entry from Alexandria: crystalline CaHgTe2 at its relaxed geometry (PBE).

Calculated values
- Uncorrected formation energy: -0.63 eV/atom
- Total DFT energy (no corrections): -2.774 eV per atom

a b c (Å): 5.380 5.380 4.298
angles (deg): 96.61 96.61 103.84
Fractional positions:
Ca: 0.000 0.000 0.000
Hg: 0.500 0.500 0.000
Te: 0.000 0.500 0.500
Te: 0.500 0.000 0.500

***

Entry 4:
Entry from Alexandria: crystalline CaHg4Te at its relaxed geometry (PBE).

Calculated values
- Uncorrected formation energy: -0.22 eV/atom
- Total DFT energy (no corrections): -1.278 eV per atom

a b c (Å): 6.212 6.212 6.212
angles (deg): 60.00 60.00 60.00
Fractional positions:
Ca: 0.000 0.000 0.000
Hg: 0.126 0.625 0.625
Hg: 0.625 0.126 0.625
Hg: 0.625 0.625 0.126
Hg: 0.625 0.625 0.625
Te: 0.250 0.250 0.250

***

Entry 5:
Entry from Alexandria: crystalline CaHgTe2 at its relaxed geometry (PBE).

Calculated values
- Uncorrected formation energy: -0.42 eV/atom
- Total DFT energy (no corrections): -2.569 eV per atom

a b c (Å): 5.500 5.500 5.500
angles (deg): 60.00 60.00 60.00
Fractional positions:
Ca: 0.000 0.000 0.000
Hg: 0.250 0.250 0.250
Te: 0.500 0.500 0.500
Te: 0.750 0.750 0.750

***

Entry 6:
Entry from Alexandria: crystalline Ca4HgTe at its relaxed geometry (PBE).

Calculated values
- Uncorrected formation energy: -0.02 eV/atom
- Total DFT energy (no corrections): -1.927 eV per atom

a b c (Å): 6.739 6.739 6.739
angles (deg): 60.00 60.00 60.00
Fractional positions:
Ca: 0.125 0.125 0.125
Ca: 0.125 0.125 0.624
Ca: 0.125 0.624 0.125
Ca: 0.624 0.125 0.125
Hg: 0.750 0.750 0.750
Te: 0.500 0.500 0.500

***

Entry 7:
Entry from Alexandria: crystalline CaHgTe2 at its relaxed geometry (PBE).

Calculated values
- Uncorrected formation energy: -0.62 eV/atom
- Total DFT energy (no corrections): -2.769 eV per atom

a b c (Å): 4.209 4.473 6.628
angles (deg): 90.00 90.00 90.00
Fractional positions:
Ca: 0.000 0.000 0.000
Hg: 0.000 0.500 0.500
Te: 0.500 0.000 0.500
Te: 0.500 0.500 0.000

***

Entry 8:
Entry from Alexandria: crystalline CaHgTe at its relaxed geometry (PBE).

Calculated values
- Uncorrected formation energy: -0.69 eV/atom
- Total DFT energy (no corrections): -2.503 eV per atom

a b c (Å): 5.402 5.402 5.402
angles (deg): 60.00 60.00 60.00
Fractional positions:
Ca: 0.000 0.000 0.000
Hg: 0.500 0.500 0.500
Te: 0.750 0.750 0.750

***

Entry 9:
Entry from Alexandria: crystalline CaHgTe2 at its relaxed geometry (PBE).

Calculated values
- Uncorrected formation energy: -0.60 eV/atom
- Total DFT energy (no corrections): -2.742 eV per atom

a b c (Å): 5.271 5.271 4.079
angles (deg): 90.00 90.00 90.00
Fractional positions:
Ca: 0.000 0.000 0.000
Hg: 0.500 0.500 0.000
Te: 0.000 0.500 0.500
Te: 0.500 0.000 0.500

***

Entry 10:
Entry from Alexandria: crystalline CaHgTe2 at its relaxed geometry (PBE).

Calculated values
- Uncorrected formation energy: -0.68 eV/atom
- Total DFT energy (no corrections): -2.828 eV per atom

a b c (Å): 4.228 4.228 6.779
angles (deg): 90.00 90.00 90.00
Fractional positions:
Ca: 0.000 0.000 0.000
Hg: 0.000 0.000 0.500
Te: 0.500 0.500 0.219
Te: 0.500 0.500 0.781

***

Entry 11:
Entry from Alexandria: crystalline CaHgTe2 at its relaxed geometry (PBE).

Calculated values
- Uncorrected formation energy: -0.57 eV/atom
- Total DFT energy (no corrections): -2.720 eV per atom

a b c (Å): 5.969 5.969 5.969
angles (deg): 132.63 131.03 70.51
Fractional positions:
Ca: 0.000 0.000 0.000
Hg: 0.500 0.500 0.000
Te: 0.248 0.748 0.500
Te: 0.752 0.252 0.500

***

Entry 12:
Entry from Alexandria: crystalline Ca3HgTe at its relaxed geometry (PBE).

Calculated values
- Uncorrected formation energy: -0.41 eV/atom
- Total DFT energy (no corrections): -2.301 eV per atom

a b c (Å): 5.761 5.761 5.761
angles (deg): 90.00 90.00 90.00
Fractional positions:
Ca: 0.000 0.000 0.500
Ca: 0.000 0.500 0.000
Ca: 0.500 0.000 0.000
Hg: 0.000 0.000 0.000
Te: 0.500 0.500 0.500

***

> Which of these has the highest total DFT energy (no corrections)?

CaHg4Te

***

> Look up the uncorrected formation energy of the fourth one.

-0.22 eV/atom

***

> What is the formula in the tenth record?

CaHgTe2

***

> What is the formula in the third record?

CaHgTe2